MgBeSi2 | PBE-GGA | optimized geometry

Cell: 4.4005 4.4005 4.4005 Å, 60.00 60.00 60.00°
Positions (direct):
Si  0.7500  0.7500  0.7500
Mg  0.5000  0.5000  0.5000
Si  0.2500  0.2500  0.2500
Be  0.0000  0.0000  0.0000

Distance to the lowest polymorph of the same formula in eV/f.u.: 1.52
Energy relative to the elements, uncorrected in eV per formula unit: 1.924
Symmetry: Fm-3m (225)

---

BaNa6Pd6 | PBE-GGA | optimized geometry

Cell: 5.6127 7.5418 7.5418 Å, 82.27 68.15 68.15°
Positions (direct):
Na  0.0000  0.3363  0.6637
Pd  0.5000  0.7715  0.2285
Pd  0.5000  0.2285  0.7715
Ba  0.0000  0.0000  0.0000
Na  0.6456  0.3544  0.3544
Na  0.0000  0.6637  0.3363
Na  0.3544  0.6456  0.6456
Pd  0.0000  0.0000  0.5000
Pd  0.5000  0.0000  0.5000
Pd  0.0000  0.5000  0.0000
Na  0.6986  0.8014  0.8014
Na  0.3014  0.1986  0.1986
Pd  0.5000  0.5000  0.0000

ΔH_f (0 K) in kJ/mol of formula units: -243
Symmetry: Immm (71)

---

La6TlI8 | PBE-GGA | optimized geometry

Cell: 7.8138 7.8138 12.6422 Å, 72.00 72.00 60.00°
Positions (direct):
La  0.3831  0.7216  0.8430
La  0.0523  0.3831  0.8430
I  0.6667  0.6667  0.0000
I  0.5591  0.8904  0.3288
I  0.1096  0.7783  0.6712
I  0.8904  0.2217  0.3288
I  0.2217  0.5591  0.3288
La  0.6169  0.2784  0.1570
La  0.9477  0.6169  0.1570
La  0.2784  0.9477  0.1570
I  0.4409  0.1096  0.6712
Tl  0.0000  0.0000  0.0000
I  0.7783  0.4409  0.6712
I  0.3333  0.3333  0.0000
La  0.7216  0.0523  0.8430

Energy relative to the elements, uncorrected in eV per formula unit: -17.811
Symmetry: R-3 (148)

---

SrNb3Se | PBE-GGA | optimized geometry

Cell: 4.9338 4.9338 4.9338 Å, 90.00 90.00 90.00°
Positions (direct):
Se  0.5000  0.5000  0.5000
Nb  0.0000  0.0000  0.5000
Nb  0.0000  0.5000  0.0000
Sr  0.0000  0.0000  0.0000
Nb  0.5000  0.0000  0.0000

Distance to the lowest polymorph of the same formula in eV/f.u.: 9.70
Energy relative to the elements, uncorrected in eV per formula unit: 12.600
Symmetry: Pm-3m (221)

---

CaTb2Ho3Se6 | PBE-GGA | optimized geometry

Cell: 4.0751 8.2148 9.1448 Å, 103.08 102.87 90.00°
Positions (direct):
Se  0.6636  0.5848  0.3271
Ho  0.5000  0.5000  0.0000
Tb  0.1710  0.3418  0.3420
Ca  0.5000  0.0000  0.0000
Se  0.6670  0.0801  0.3340
Se  0.9995  0.7473  0.9990
Ho  0.1677  0.8274  0.3355
Se  0.3330  0.9199  0.6660
Ho  0.8323  0.1726  0.6645
Se  0.0005  0.2527  0.0010
Tb  0.8290  0.6582  0.6580
Se  0.3364  0.4152  0.6729

Energy relative to the elements, uncorrected in eV per formula unit: -21.453
Symmetry: C2/m (12)

---

NiSb2IN | PBE-GGA | optimized geometry

Cell: 4.9007 4.9007 5.0941 Å, 90.00 90.00 90.00°
Positions (direct):
N  0.5000  0.5000  0.5000
Sb  0.0000  0.5000  0.0000
Sb  0.5000  0.0000  0.0000
I  0.0000  0.0000  0.5000
Ni  0.0000  0.0000  0.0000

Distance to the lowest polymorph of the same formula in eV/f.u.: 1.86
Energy relative to the elements, uncorrected in eV per formula unit: 7.054
Symmetry: P4/mmm (123)

---

In the order shown, the computed density of states at the Fermi level values come out to 2.21 5.27 8.75 5.46 5.10 6.03 states/eV/cell.
In the order shown, the computed total energy values come out to -3.561 -3.347 -4.143 -4.555 -5.613 -3.370 eV per atom.